[1]
{"formula": "Tb6Nd2Mg", "functional": "PBE-GGA", "state": "relaxed", "cell": [[-3.019, 4.053, -4.153], [-5.491, -8.484, -10.479], [-5.754, -2.120, 2.278]], "species": ["Nd", "Mg", "Nd", "Mg", "Nd", "Tb", "Tb", "Tb", "Tb", "Tb", "Tb", "Tb", "Tb", "Tb", "Tb", "Tb", "Nd", "Tb"], "fractional_positions": [[0.560, 0.807, 0.732], [0.258, 0.250, 0.742], [0.268, 0.693, 0.440], [0.742, 0.750, 0.258], [0.440, 0.193, 0.268], [0.212, 0.460, 0.370], [0.052, 0.641, 0.924], [0.630, 0.040, 0.788], [0.370, 0.960, 0.212], [0.890, 0.925, 0.410], [0.410, 0.425, 0.890], [0.110, 0.075, 0.590], [0.924, 0.141, 0.052], [0.948, 0.359, 0.076], [0.788, 0.540, 0.630], [0.590, 0.575, 0.110], [0.732, 0.307, 0.560], [0.076, 0.859, 0.948]], "final_energy_ev_per_atom": -4.2483, "sg": "C2/c", "polymorph_energy_mev_per_atom": 54.9, "dos_ef_per_ev_atom": 1.42, "magmom_total_mub_per_fu": 0.000, "formation_enthalpy_0k_kj_per_mol_atoms": 7.3}

[2]
{"formula": "Tb2NdMg9", "functional": "PBE-GGA", "state": "relaxed", "cell": [[6.054, 0.000, 0.000], [3.027, 5.243, 0.000], [3.027, 1.748, 9.800]], "species": ["Nd", "Mg", "Mg", "Tb", "Mg", "Mg", "Mg", "Tb", "Mg", "Mg", "Mg", "Mg"], "fractional_positions": [[0.000, 0.000, 0.000], [0.080, 0.587, 0.747], [0.334, 0.334, 0.998], [0.856, 0.856, 0.431], [0.500, 0.500, 0.500], [0.413, 0.413, 0.253], [0.666, 0.666, 0.002], [0.144, 0.144, 0.569], [0.587, 0.587, 0.747], [0.920, 0.413, 0.253], [0.413, 0.920, 0.253], [0.587, 0.080, 0.747]], "final_energy_ev_per_atom": -2.4196, "sg": "R-3m", "dos_ef_per_ev_atom": 1.00, "magmom_total_mub_per_fu": 0.001, "formation_enthalpy_0k_kj_per_mol_atoms": -5.3}